Record 1
# RbLi2ThS4

A geometry-optimized RbLi2ThS4 structure (GGA-PBE, Alexandria).

Lattice parameters (Å, degrees): 6.524 6.524 6.524 115.87 115.52 97.64
Positions (direct):
Rb 0.000 0.000 0.000
Li 0.249 0.749 0.500
Li 0.751 0.251 0.500
Th 0.500 0.500 0.000
S 0.095 0.522 0.000
S 0.478 0.478 0.573
S 0.522 0.095 0.000
S 0.905 0.905 0.427

Properties
D(E_F) = 6.710 states/eV per cell
E_form (uncorrected) = -1.217 eV per atom

***

Record 2
# DyGa2Au3

A geometry-optimized DyGa2Au3 structure (GGA-PBE, Alexandria).

Lattice parameters (Å, degrees): 8.798 8.798 10.437 106.61 106.61 27.59
Positions (direct):
Dy 0.000 0.000 0.000
Dy 0.152 0.152 0.690
Dy 0.848 0.848 0.310
Ga 0.198 0.198 0.123
Ga 0.360 0.360 0.551
Ga 0.463 0.463 0.225
Ga 0.537 0.537 0.775
Ga 0.640 0.640 0.449
Ga 0.802 0.802 0.877
Au 0.043 0.043 0.330
Au 0.223 0.223 0.377
Au 0.327 0.327 0.051
Au 0.389 0.389 0.825
Au 0.500 0.500 0.500
Au 0.611 0.611 0.175
Au 0.673 0.673 0.949
Au 0.777 0.777 0.623
Au 0.957 0.957 0.670

Properties
D(E_F) = 6.635 states/eV per cell
distance to the lowest polymorph of the same formula = 15 kJ/mol of formula units
formation energy from the elements = -3.08 eV per formula unit